1.
Compound: Be4Zn3
Source: the Alexandria database
Functional: GGA-PBE
Structure: relaxed

Lattice parameters (Å, degrees): 4.7909 4.7909 4.2078 90.00 90.00 120.00
Fractional coordinates of all 7 atoms:
Be (0.6667, 0.3333, 0.5000)
Be (0.3333, 0.6667, 0.5000)
Zn (0.5000, 0.5000, 0.0000)
Zn (0.5000, 0.0000, 0.0000)
Zn (0.0000, 0.5000, 0.0000)
Be (0.0000, 0.0000, 0.7503)
Be (0.0000, 0.0000, 0.2497)

Output
Density of states at the Fermi level: 3.45 states/eV/cell
Total DFT energy (no corrections): -15.77 eV per formula unit


2.
Compound: Li4Dy3ScTe8
Source: the Alexandria database
Functional: GGA-PBE
Structure: relaxed

Lattice parameters (Å, degrees): 8.5990 8.6144 8.5988 119.96 120.00 90.00
Fractional coordinates of all 16 atoms:
Li (0.5000, 0.0000, 0.0000)
Li (0.0000, 0.0000, 0.0000)
Te (0.7525, 0.7573, 0.5050)
Te (0.7547, 0.2492, 0.5094)
Dy (0.5000, 0.5000, 0.5000)
Li (0.5000, 0.0000, 0.5000)
Li (0.0000, 0.0000, 0.5000)
Dy (0.0000, 0.5000, 0.5000)
Te (0.7604, 0.7508, 0.0057)
Te (0.2475, 0.2427, 0.4950)
Te (0.7547, 0.2492, 0.9943)
Dy (0.5000, 0.5000, 0.0000)
Te (0.2453, 0.7508, 0.4906)
Te (0.2396, 0.2492, 0.9943)
Te (0.2453, 0.7508, 0.0057)
Sc (0.0000, 0.5000, 0.0000)

Output
Formation energy without anion corrections: -1.26 eV/atom


3.
Compound: Ca2InGa2
Source: the Alexandria database
Functional: GGA-PBE
Structure: relaxed

Lattice parameters (Å, degrees): 7.7037 7.7037 4.2602 90.00 90.00 90.00
Fractional coordinates of all 10 atoms:
Ca (0.3231, 0.1769, 0.5000)
Ca (0.8231, 0.3231, 0.5000)
Ca (0.1769, 0.6769, 0.5000)
Ca (0.6769, 0.8231, 0.5000)
In (0.5000, 0.5000, 0.0000)
Ga (0.3803, 0.8803, 0.0000)
Ga (0.1197, 0.3803, 0.0000)
In (0.0000, 0.0000, 0.0000)
Ga (0.6197, 0.1197, 0.0000)
Ga (0.8803, 0.6197, 0.0000)

Output
Density of states at the Fermi level: 5.76 states/eV/cell
Total DFT energy (no corrections): -14.90 eV per formula unit


4.
Compound: Nb3SnS8
Source: the Alexandria database
Functional: GGA-PBE
Structure: relaxed

Lattice parameters (Å, degrees): 6.9965 6.9965 12.9063 90.00 90.00 120.00
Fractional coordinates of all 24 atoms:
Sn (0.6667, 0.3333, 0.9610)
Sn (0.3333, 0.6667, 0.4610)
S (0.6667, 0.3333, 0.6022)
Nb (0.3301, 0.1650, 0.7159)
Nb (0.1650, 0.8350, 0.2159)
S (0.8389, 0.1611, 0.1070)
S (0.4996, 0.9991, 0.8304)
S (0.6779, 0.8389, 0.6070)
Nb (0.6699, 0.8350, 0.2159)
S (0.5004, 0.0009, 0.3304)
Nb (0.1650, 0.3301, 0.2159)
Nb (0.8350, 0.1650, 0.7159)
S (0.3333, 0.6667, 0.1022)
S (0.5004, 0.4996, 0.3304)
S (0.4996, 0.5004, 0.8304)
S (0.1611, 0.8389, 0.6070)
S (0.0000, 0.0000, 0.3340)
Nb (0.8350, 0.6699, 0.7159)
S (0.1611, 0.3221, 0.6070)
S (0.0000, 0.0000, 0.8340)
S (0.8389, 0.6779, 0.1070)
S (0.3221, 0.1611, 0.1070)
S (0.9991, 0.4996, 0.3304)
S (0.0009, 0.5004, 0.8304)

Output
Density of states at the Fermi level: 9.07 states/eV/cell
Formation energy without anion corrections: -0.77 eV/atom